Arrangement P

Crystalline Ba8Ir2Rh at its relaxed geometry. Source: Alexandria via LeMat-Bulk, functional PBE.

Calculated values
Crystal system   monoclinic
Total moment   0.000 μB/atom

```
Ba8Ir2Rh
1.0
7.751 -0.004 -0.001
0.068 7.369 -4.607
0.002 0.001 9.213
Ir Ba Rh
2 8 1
Cartesian
7.711 3.511 4.605
0.111 3.855 0.000
1.268 1.964 2.194
6.553 5.402 2.411
2.393 5.474 4.605
1.269 1.965 7.017
2.436 5.561 -0.002
5.386 1.805 4.607
5.428 1.892 0.000
6.552 5.401 -2.412
0.002 0.001 9.213
```


Arrangement Q

Crystalline Ba8Ir2Rh at its relaxed geometry. Source: Alexandria via LeMat-Bulk, functional PBE.

Calculated values
Crystal system   monoclinic
Total moment   0.000 μB/atom

```
Ba8Ir2Rh
1.0
7.336 -1.738 -1.214
-0.782 9.318 1.287
-0.782 4.415 8.306
Ba Ir Rh
8 2 1
Cartesian
5.847 8.288 3.067
5.847 5.732 6.726
3.708 3.968 2.772
-0.076 3.707 5.311
-0.076 6.262 1.652
2.063 8.027 5.607
2.850 11.244 7.854
2.921 0.751 0.525
0.287 9.909 6.922
5.484 2.086 1.457
0.000 0.000 0.000
```


How do the structures above rank in stability at the extremes? arrangement P comes first and arrangement Q comes last.